## SrLi3Tl (meta-GGA SCAN)

Data for SrLi3Tl at its PBEsol-relaxed geometry.

a b c (Å): 5.786 5.786 5.786
angles (deg): 90.00 90.00 90.00
Fractional positions:
Sr 0.000 0.000 0.000
Li 0.000 0.000 0.500
Li 0.000 0.500 0.000
Li 0.500 0.000 0.000
Tl 0.500 0.500 0.500

Results
Total DFT energy (no corrections) = -0.71850 Ha/atom
ΔH_f (0 K) = 0.81 eV per atom
Space-group type = Pm-3m, No. 221
N(E_F) = 3.1 states/eV/cell
Energy relative to the lowest polymorph listed for this composition = 5.01 eV/f.u.

## MoRu3 (meta-GGA SCAN)

Data for MoRu3 at its PBEsol-relaxed geometry.

a b c (Å): 5.430 5.430 4.305
angles (deg): 90.00 90.00 120.00
Fractional positions:
Mo 0.333 0.667 0.250
Mo 0.667 0.333 0.750
Ru 0.166 0.333 0.750
Ru 0.166 0.834 0.750
Ru 0.333 0.166 0.250
Ru 0.667 0.834 0.750
Ru 0.834 0.166 0.250
Ru 0.834 0.667 0.250

Results
Total DFT energy (no corrections) = -1.28239 Ha/atom
ΔH_f (0 K) = -0.05 eV per atom
Space-group type = P6_3/mmc, No. 194
N(E_F) = 7.6 states/eV/cell
Energy relative to the lowest polymorph listed for this composition = 0.00 eV/f.u.

## SiPtBr (meta-GGA SCAN)

Data for SiPtBr at its PBEsol-relaxed geometry.

a b c (Å): 6.315 5.959 3.359
angles (deg): 80.06 68.34 31.60
Fractional positions:
Si 0.000 0.000 0.000
Pt 0.383 0.383 0.617
Br 0.712 0.712 0.288

Results
Total DFT energy (no corrections) = -1.21678 Ha/atom
Space-group type = Fmm2, No. 42
N(E_F) = 1.0 states/eV/cell

## ZnTc (meta-GGA SCAN)

Data for ZnTc at its PBEsol-relaxed geometry.

a b c (Å): 8.887 8.887 8.887
angles (deg): 17.60 17.60 17.60
Fractional positions:
Zn 0.124 0.124 0.124
Zn 0.876 0.876 0.876
Tc 0.372 0.372 0.372
Tc 0.628 0.628 0.628

Results
Total DFT energy (no corrections) = -0.89330 Ha/atom
ΔH_f (0 K) = -0.02 eV per atom
Space-group type = R-3m, No. 166
N(E_F) = 1.7 states/eV/cell
Energy relative to the lowest polymorph listed for this composition = 0.10 eV/f.u.

## SrMg2Cd (meta-GGA SCAN)

Data for SrMg2Cd at its PBEsol-relaxed geometry.

a b c (Å): 5.299 5.299 5.299
angles (deg): 60.00 60.00 60.00
Fractional positions:
Sr 0.000 0.000 0.000
Mg 0.500 0.500 0.500
Mg 0.750 0.750 0.750
Cd 0.250 0.250 0.250

Results
Total DFT energy (no corrections) = -0.58128 Ha/atom
ΔH_f (0 K) = -0.16 eV per atom
Space-group type = F-43m, No. 216
N(E_F) = 2.4 states/eV/cell

## Si3W2 (meta-GGA SCAN)

Data for Si3W2 at its PBEsol-relaxed geometry.

a b c (Å): 4.316 4.316 4.985
angles (deg): 90.00 90.00 120.00
Fractional positions:
Si 0.000 0.000 0.000
Si 0.333 0.667 0.390
Si 0.667 0.333 0.610
W 0.333 0.667 0.888
W 0.667 0.333 0.112

Results
Total DFT energy (no corrections) = -1.23491 Ha/atom
Space-group type = P-3m1, No. 164
N(E_F) = 3.5 states/eV/cell

## P2H24AuC8I (meta-GGA SCAN)

Data for P2H24AuC8I at its PBEsol-relaxed geometry.

a b c (Å): 11.771 11.771 7.481
angles (deg): 90.00 90.00 124.53
Fractional positions:
P 0.024 0.312 0.250
P 0.312 0.024 0.750
P 0.688 0.976 0.250
P 0.976 0.688 0.750
H 0.010 0.507 0.750
H 0.067 0.359 0.563
H 0.067 0.359 0.937
H 0.077 0.141 0.631
H 0.077 0.141 0.869
H 0.141 0.077 0.131
H 0.141 0.077 0.369
H 0.146 0.656 0.628
H 0.146 0.656 0.872
H 0.187 0.508 0.072
H 0.187 0.508 0.428
H 0.209 0.236 0.250
H 0.209 0.369 0.043
H 0.209 0.369 0.457
H 0.236 0.209 0.750
H 0.344 0.854 0.628
H 0.344 0.854 0.872
H 0.359 0.067 0.063
H 0.359 0.067 0.437
H 0.369 0.209 0.543
H 0.369 0.209 0.957
H 0.492 0.813 0.072
H 0.492 0.813 0.428
H 0.493 0.990 0.750
H 0.507 0.010 0.250
H 0.508 0.187 0.572
H 0.508 0.187 0.928
H 0.631 0.791 0.043
H 0.631 0.791 0.457
H 0.641 0.933 0.563
H 0.641 0.933 0.937
H 0.656 0.146 0.128
H 0.656 0.146 0.372
H 0.764 0.791 0.250
H 0.791 0.631 0.543
H 0.791 0.631 0.957
H 0.791 0.764 0.750
H 0.813 0.492 0.572
H 0.813 0.492 0.928
H 0.854 0.344 0.128
H 0.854 0.344 0.372
H 0.859 0.923 0.631
H 0.859 0.923 0.869
H 0.923 0.859 0.131
H 0.923 0.859 0.369
H 0.933 0.641 0.063
H 0.933 0.641 0.437
H 0.990 0.493 0.250
Au 0.073 0.927 0.750
Au 0.927 0.073 0.250
C 0.081 0.621 0.750
C 0.124 0.129 0.750
C 0.129 0.124 0.250
C 0.133 0.395 0.057
C 0.133 0.395 0.443
C 0.379 0.919 0.750
C 0.395 0.133 0.557
C 0.395 0.133 0.943
C 0.605 0.867 0.057
C 0.605 0.867 0.443
C 0.621 0.081 0.250
C 0.867 0.605 0.557
C 0.867 0.605 0.943
C 0.871 0.876 0.750
C 0.876 0.871 0.250
C 0.919 0.379 0.250
I 0.223 0.777 0.250
I 0.777 0.223 0.750

Results
Total DFT energy (no corrections) = -0.30402 Ha/atom
Space-group type = Cmcm, No. 63
N(E_F) = 0.0 states/eV/cell

## TlSb2Pb (meta-GGA SCAN)

Data for TlSb2Pb at its PBEsol-relaxed geometry.

a b c (Å): 3.167 5.573 6.519
angles (deg): 90.00 90.02 90.00
Fractional positions:
Tl 0.000 0.000 0.000
Sb 0.498 0.500 0.716
Sb 0.500 0.000 0.510
Pb 0.502 0.500 0.224

Results
Total DFT energy (no corrections) = -2.04423 Ha/atom
Space-group type = Pm, No. 6
N(E_F) = 1.6 states/eV/cell

## RhBrCl (meta-GGA SCAN)

Data for RhBrCl at its PBEsol-relaxed geometry.

a b c (Å): 4.503 4.503 4.503
angles (deg): 60.00 60.00 60.00
Fractional positions:
Rh 0.000 0.000 0.000
Br 0.500 0.500 0.500
Cl 0.750 0.750 0.750

Results
Total DFT energy (no corrections) = -0.71256 Ha/atom
Space-group type = F-43m, No. 216
N(E_F) = 2.8 states/eV/cell

## YB2Sb2 (meta-GGA SCAN)

Data for YB2Sb2 at its PBEsol-relaxed geometry.

a b c (Å): 7.305 7.305 7.305
angles (deg): 150.02 150.02 42.91
Fractional positions:
Y 0.000 0.000 0.000
B 0.250 0.750 0.500
B 0.750 0.250 0.500
Sb 0.361 0.361 0.000
Sb 0.639 0.639 0.000

Results
Total DFT energy (no corrections) = -0.83488 Ha/atom
Space-group type = I4/mmm, No. 139
N(E_F) = 2.0 states/eV/cell

## In2MoRh (meta-GGA SCAN)

Data for In2MoRh at its PBEsol-relaxed geometry.

a b c (Å): 3.010 3.368 6.657
angles (deg): 90.00 90.00 90.00
Fractional positions:
In 0.000 0.000 0.236
In 0.000 0.000 0.764
Mo 0.500 0.500 0.500
Rh 0.500 0.500 0.000

Results
Total DFT energy (no corrections) = -1.24117 Ha/atom
ΔH_f (0 K) = 0.08 eV per atom
Space-group type = Pmmm, No. 47
N(E_F) = 3.3 states/eV/cell
Energy relative to the lowest polymorph listed for this composition = 0.00 eV/f.u.

## SrCaCl (meta-GGA SCAN)

Data for SrCaCl at its PBEsol-relaxed geometry.

a b c (Å): 5.921 5.921 5.921
angles (deg): 60.00 60.00 60.00
Fractional positions:
Sr 0.000 0.000 0.000
Ca 0.750 0.750 0.750
Cl 0.250 0.250 0.250

Results
Total DFT energy (no corrections) = -0.49533 Ha/atom
Space-group type = F-43m, No. 216
N(E_F) = 1.5 states/eV/cell

> Which of these has the highest total DFT energy (no corrections)?

P2H24AuC8I